The following is a DFT calculation (PBE) of FeAsSe2 after structural relaxation.

Calculated values
Space-group type: R-3m
Magnetization in Bohr magnetons per cell: 1.2
E_tot in eV/cell: -19.9

a = 8.2860 Å, b = 8.2860 Å, c = 8.2860 Å
α = 23.79°, β = 23.79°, γ = 23.79°
Last column: nearest neighbours and their distance in Å.
Sites, in units of the cell vectors:
1 Fe 0.0000 0.0000 0.0000  6 Se 2.38
2 As 0.5000 0.5000 0.5000  2 Se 2.69
3 Se 0.3887 0.3887 0.3887  3 Fe 2.38
4 Se 0.6113 0.6113 0.6113  3 Fe 2.38